i | Crystalline La2Ge2Te at its relaxed geometry, computed with PBE-GGA.

- Magnetization: 0.00 μB/f.u.

```
data_La2Ge2Te
_chemical_formula_sum 'La2 Ge2 Te1'
_cell_length_a 6.003
_cell_length_b 6.003
_cell_length_c 6.003
_cell_angle_alpha 121.50
_cell_angle_beta 121.50
_cell_angle_gamma 87.42
_symmetry_space_group_name_H-M 'P 1'
_symmetry_Int_Tables_number 1
loop_
_symmetry_equiv_pos_as_xyz
'x,y,z'
loop_
_atom_site_label
_atom_site_fract_x
_atom_site_fract_y
_atom_site_fract_z
_atom_site_occupancy
La1 0.250 0.750 0.500 1
La2 0.750 0.250 0.500 1
Ge1 0.145 0.145 0.000 1
Ge2 0.855 0.855 0.000 1
Te1 0.500 0.500 0.000 1
```

***

ii | Crystalline La2Ge2Te at its relaxed geometry, computed with PBE-GGA.

- Magnetization: 0.00 μB/f.u.

```
data_La2Ge2Te
_chemical_formula_sum 'La2 Ge2 Te1'
_cell_length_a 9.018
_cell_length_b 9.018
_cell_length_c 9.018
_cell_angle_alpha 154.02
_cell_angle_beta 154.02
_cell_angle_gamma 37.06
_symmetry_space_group_name_H-M 'P 1'
_symmetry_Int_Tables_number 1
loop_
_symmetry_equiv_pos_as_xyz
'x,y,z'
loop_
_atom_site_label
_atom_site_fract_x
_atom_site_fract_y
_atom_site_fract_z
_atom_site_occupancy
La1 0.110 0.110 0.000 1
La2 0.890 0.890 0.000 1
Ge1 0.250 0.750 0.500 1
Ge2 0.750 0.250 0.500 1
Te1 0.500 0.500 0.000 1
```

***

Stability summary: most stable ii, least stable i.

***

i | Crystalline La3GeTe at its relaxed geometry, computed with PBE-GGA.

- Magnetization: 0.00 μB/f.u.

```
data_La3GeTe
_chemical_formula_sum 'La6 Ge2 Te2'
_cell_length_a 4.429
_cell_length_b 9.370
_cell_length_c 10.766
_cell_angle_alpha 112.61
_cell_angle_beta 90.15
_cell_angle_gamma 103.60
_symmetry_space_group_name_H-M 'P 1'
_symmetry_Int_Tables_number 1
loop_
_symmetry_equiv_pos_as_xyz
'x,y,z'
loop_
_atom_site_label
_atom_site_fract_x
_atom_site_fract_y
_atom_site_fract_z
_atom_site_occupancy
La1 0.029 0.056 0.189 1
La2 0.172 0.340 0.539 1
La3 0.345 0.691 0.949 1
La4 0.655 0.309 0.051 1
La5 0.828 0.660 0.461 1
La6 0.971 0.944 0.811 1
Ge1 0.351 0.703 0.665 1
Ge2 0.649 0.297 0.335 1
Te1 0.153 0.307 0.825 1
Te2 0.847 0.693 0.175 1
```

***

ii | Crystalline La3GeTe at its relaxed geometry, computed with PBE-GGA.

- Magnetization: 0.00 μB/f.u.

```
data_La3GeTe
_chemical_formula_sum 'La3 Ge1 Te1'
_cell_length_a 5.714
_cell_length_b 5.714
_cell_length_c 5.714
_cell_angle_alpha 90.00
_cell_angle_beta 90.00
_cell_angle_gamma 90.00
_symmetry_space_group_name_H-M 'P 1'
_symmetry_Int_Tables_number 1
loop_
_symmetry_equiv_pos_as_xyz
'x,y,z'
loop_
_atom_site_label
_atom_site_fract_x
_atom_site_fract_y
_atom_site_fract_z
_atom_site_occupancy
La1 0.000 0.000 0.500 1
La2 0.000 0.500 0.000 1
La3 0.500 0.000 0.000 1
Ge1 0.000 0.000 0.000 1
Te1 0.500 0.500 0.500 1
```

***

Stability summary: most stable i, least stable ii.

***

i | Crystalline La2GeTe2 at its relaxed geometry, computed with PBE-GGA.

- Magnetization: 0.00 μB/f.u.

```
data_La2GeTe2
_chemical_formula_sum 'La4 Ge2 Te4'
_cell_length_a 8.527
_cell_length_b 8.527
_cell_length_c 4.238
_cell_angle_alpha 90.00
_cell_angle_beta 90.00
_cell_angle_gamma 90.00
_symmetry_space_group_name_H-M 'P 1'
_symmetry_Int_Tables_number 1
loop_
_symmetry_equiv_pos_as_xyz
'x,y,z'
loop_
_atom_site_label
_atom_site_fract_x
_atom_site_fract_y
_atom_site_fract_z
_atom_site_occupancy
La1 0.159 0.341 0.000 1
La2 0.341 0.841 0.000 1
La3 0.659 0.159 0.000 1
La4 0.841 0.659 0.000 1
Ge1 0.000 0.000 0.500 1
Ge2 0.500 0.500 0.500 1
Te1 0.145 0.645 0.500 1
Te2 0.355 0.145 0.500 1
Te3 0.645 0.855 0.500 1
Te4 0.855 0.355 0.500 1
```

***

ii | Crystalline La2GeTe2 at its relaxed geometry, computed with PBE-GGA.

- Magnetization: 0.00 μB/f.u.

```
data_La2GeTe2
_chemical_formula_sum 'La4 Ge2 Te4'
_cell_length_a 8.551
_cell_length_b 8.551
_cell_length_c 4.341
_cell_angle_alpha 90.00
_cell_angle_beta 90.00
_cell_angle_gamma 90.00
_symmetry_space_group_name_H-M 'P 1'
_symmetry_Int_Tables_number 1
loop_
_symmetry_equiv_pos_as_xyz
'x,y,z'
loop_
_atom_site_label
_atom_site_fract_x
_atom_site_fract_y
_atom_site_fract_z
_atom_site_occupancy
La1 0.163 0.337 0.000 1
La2 0.337 0.837 0.000 1
La3 0.663 0.163 0.000 1
La4 0.837 0.663 0.000 1
Ge1 0.000 0.000 0.000 1
Ge2 0.500 0.500 0.000 1
Te1 0.144 0.644 0.500 1
Te2 0.356 0.144 0.500 1
Te3 0.644 0.856 0.500 1
Te4 0.856 0.356 0.500 1
```

***

Stability summary: most stable ii, least stable i.